No. 1
## VBPS2 (PBE-GGA)

Data for a relaxed VBPS2 crystal.

## Properties
ΔE to the lowest computed polymorph (eV/atom): 0.000
ΔE_f (raw) (eV per atom): 0.75

Geometry as CIF:
```
data_VBPS2
_cell_length_a 4.208
_cell_length_b 4.208
_cell_length_c 3.932
_cell_angle_alpha 90.00
_cell_angle_beta 90.00
_cell_angle_gamma 90.00
_space_group_name_H-M_alt 'P 4/m m m'
_space_group_IT_number 123
_space_group_name_Hall '-P 4 2'
loop_
_atom_site_label
_atom_site_type_symbol
_atom_site_fract_x
_atom_site_fract_y
_atom_site_fract_z
V1 V 0.000 0.000 0.000
B1 B 0.500 0.500 0.500
P1 P 0.500 0.500 0.000
S1 S 0.000 0.500 0.500
```

---

No. 2
## BaCa2Fe (PBE-GGA)

Data for a relaxed BaCa2Fe crystal.

## Properties
ΔE to the lowest computed polymorph (eV/atom): 0.035
Formation enthalpy at 0 K (meV per atom): 419

Geometry as CIF:
```
data_BaCa2Fe
_cell_length_a 3.762
_cell_length_b 6.056
_cell_length_c 12.570
_cell_angle_alpha 90.00
_cell_angle_beta 90.00
_cell_angle_gamma 90.00
_space_group_name_H-M_alt 'I m m m'
_space_group_IT_number 71
_space_group_name_Hall '-I 2 2'
loop_
_atom_site_label
_atom_site_type_symbol
_atom_site_fract_x
_atom_site_fract_y
_atom_site_fract_z
Ba1 Ba 0.000 0.000 0.000
Ca1 Ca 0.000 0.500 0.190
Fe1 Fe 0.000 0.000 0.500
```

---

No. 3
## YBiSCl2 (PBE-GGA)

Data for a relaxed YBiSCl2 crystal.

## Properties
ΔE to the lowest computed polymorph (eV/atom): 0.000
ΔE_f (raw) (eV per atom): -1.05

Geometry as CIF:
```
data_YBiSCl2
_cell_length_a 5.227
_cell_length_b 5.227
_cell_length_c 5.473
_cell_angle_alpha 90.00
_cell_angle_beta 90.00
_cell_angle_gamma 90.00
_space_group_name_H-M_alt 'P 4/m m m'
_space_group_IT_number 123
_space_group_name_Hall '-P 4 2'
loop_
_atom_site_label
_atom_site_type_symbol
_atom_site_fract_x
_atom_site_fract_y
_atom_site_fract_z
Y1 Y 0.000 0.000 0.000
Bi1 Bi 0.500 0.500 0.500
S1 S 0.000 0.000 0.500
Cl1 Cl 0.000 0.500 0.000
```

---

No. 4
## LaDy6Tm12 (PBE-GGA)

Data for a relaxed LaDy6Tm12 crystal.

## Properties
ΔE to the lowest computed polymorph (eV/atom): 0.270
Formation enthalpy at 0 K (meV per atom): 433

Geometry as CIF:
```
data_LaDy6Tm12
_cell_length_a 14.9544
_cell_length_b 14.9544
_cell_length_c 9.8909
_cell_angle_alpha 90.00
_cell_angle_beta 90.00
_cell_angle_gamma 120.00
_space_group_name_H-M_alt 'R -3 m'
_space_group_IT_number 166
_space_group_name_Hall '-R 3 2"'
loop_
_atom_site_label
_atom_site_type_symbol
_atom_site_fract_x
_atom_site_fract_y
_atom_site_fract_z
La1 La 0.0000 0.0000 0.0000
Dy1 Dy 0.0481 0.5241 0.2096
Tm1 Tm 0.0000 0.3900 0.5000
Tm2 Tm 0.0719 0.1439 0.2993
```

---

No. 5
## Tb4PrHg2 (PBE-GGA)

Data for a relaxed Tb4PrHg2 crystal.

## Properties
ΔE to the lowest computed polymorph (eV/atom): 0.119
Formation enthalpy at 0 K (meV per atom): 26

Geometry as CIF:
```
data_Tb4PrHg2
_cell_length_a 5.0579
_cell_length_b 5.0579
_cell_length_c 31.2462
_cell_angle_alpha 90.00
_cell_angle_beta 90.00
_cell_angle_gamma 120.00
_space_group_name_H-M_alt 'R -3 m'
_space_group_IT_number 166
_space_group_name_Hall '-R 3 2"'
loop_
_atom_site_label
_atom_site_type_symbol
_atom_site_fract_x
_atom_site_fract_y
_atom_site_fract_z
Tb1 Tb 0.0000 0.0000 0.1055
Tb2 Tb 0.0000 0.0000 0.2977
Pr1 Pr 0.0000 0.0000 0.5000
Hg1 Hg 0.0000 0.0000 0.3981
```

---

No. 6
## Li2Cd6Rh (PBE-GGA)

Data for a relaxed Li2Cd6Rh crystal.

## Properties
ΔE to the lowest computed polymorph (eV/atom): 0.109
Formation enthalpy at 0 K (meV per atom): -86

Geometry as CIF:
```
data_Li2Cd6Rh
_cell_length_a 14.814
_cell_length_b 7.898
_cell_length_c 3.114
_cell_angle_alpha 90.00
_cell_angle_beta 90.34
_cell_angle_gamma 90.00
_space_group_name_H-M_alt 'C 1 2/m 1'
_space_group_IT_number 12
_space_group_name_Hall '-C 2y'
loop_
_atom_site_label
_atom_site_type_symbol
_atom_site_fract_x
_atom_site_fract_y
_atom_site_fract_z
Li1 Li 0.187 0.000 0.001
Cd1 Cd 0.000 0.188 0.000
Cd2 Cd 0.161 0.318 0.504
Rh1 Rh 0.000 0.500 0.500
```

---

No. 7
## Si2SbW (PBE-GGA)

Data for a relaxed Si2SbW crystal.

## Properties
ΔE_f (raw) (eV per atom): 0.34

Geometry as CIF:
```
data_Si2SbW
_cell_length_a 3.173
_cell_length_b 3.173
_cell_length_c 7.598
_cell_angle_alpha 90.00
_cell_angle_beta 90.00
_cell_angle_gamma 90.00
_space_group_name_H-M_alt 'P 4 m m'
_space_group_IT_number 99
_space_group_name_Hall 'P 4 -2'
loop_
_atom_site_label
_atom_site_type_symbol
_atom_site_fract_x
_atom_site_fract_y
_atom_site_fract_z
Si1 Si 0.000 0.000 0.000
Si2 Si 0.500 0.500 0.174
Sb1 Sb 0.500 0.500 0.603
W1 W 0.000 0.000 0.341
```

---

| no. | spin magnetization (μB per formula unit) | uncorrected energy (eV per atom) |
| --- | --- | --- |
| 1 | 0.00 | -5.14 |
| 2 | 2.25 | -3.18 |
| 3 | 1.99 | -4.69 |
| 4 | 0.00 | -4.10 |
| 5 | 0.00 | -3.39 |
| 6 | 0.00 | -1.94 |
| 7 | 0.00 | -6.64 |